# 1
Compound: VSbSe2N
Source: Alexandria via LeMat-Bulk
Functional: GGA-PBE
Structure: relaxed

Values from the calculation:
**Total energy**: -28.64 eV per cell
**Uncorrected formation energy**: -0.020 eV/atom
**Energy above the most stable polymorph in this dataset**: 0 meV per atom

a b c (Å): 5.0799 5.0799 3.6514
angles (deg): 90.00 90.00 90.00
Fractional coordinates of all 5 atoms:
1 Se 0.0000 0.5000 0.0000
2 Se 0.5000 0.0000 0.0000
3 V 0.0000 0.0000 0.0000
4 N 0.0000 0.0000 0.5000
5 Sb 0.5000 0.5000 0.5000


# 2
Compound: Ba2ZnGaH
Source: Alexandria via LeMat-Bulk
Functional: GGA-PBE
Structure: relaxed

Values from the calculation:
**Total energy**: -25.88 eV per cell
**Energy above the most stable polymorph in this dataset**: 0 meV per atom

a b c (Å): 4.5615 7.3431 8.9438
angles (deg): 106.70 90.00 90.00
Fractional coordinates of all 10 atoms:
1 Ba 0.2500 0.2293 0.9533
2 Ba 0.2500 0.2059 0.4104
3 Ba 0.7500 0.7707 0.0467
4 Ba 0.7500 0.7941 0.5896
5 H 0.2500 0.8115 0.8229
6 H 0.7500 0.1885 0.1771
7 Ga 0.7500 0.3676 0.7133
8 Ga 0.2500 0.6324 0.2867
9 Zn 0.2500 0.5467 0.7528
10 Zn 0.7500 0.4533 0.2472